VASP calculation (meta-GGA SCAN) on a crystal of La5Si3N9 relaxed with PBEsol.

Results
The calculation puts the calculated density at 6.3 g/cm³. The magnetization comes out at 0.0 μB per formula unit. The volume comes out at 14.08 Å³ per atom. The calculation puts the calculated total energy at -21.009 eV per atom. For the uncorrected formation energy, the calculation gives -1.645 eV per atom.

Cell lengths 7.7604, 7.7604, 15.9381 Å; angles 90.00, 90.00, 93.85 degrees
Closest atoms and distances in Å follow each position.
Fractional coordinates of all 68 atoms:
N 0.7985 0.7259 0.3466  1 Si 1.74
N 0.4941 0.7557 0.2582  2 Si 1.71-1.73
N 0.2275 0.7725 0.3766  2 Si 1.73-1.75
N 0.2443 0.5059 0.2582  2 Si 1.71-1.73
N 0.7015 0.7741 0.8466  1 Si 1.74
N 0.9941 0.2557 0.2418  2 Si 1.71-1.73
N 0.0140 0.7211 0.9997  1 Si 1.77
N 0.7211 0.0140 0.0003  1 Si 1.77
N 0.0059 0.7443 0.7582  2 Si 1.71-1.73
N 0.7557 0.4941 0.7418  2 Si 1.71-1.73
N 0.7443 0.0059 0.2418  2 Si 1.71-1.73
N 0.2557 0.9941 0.7582  2 Si 1.71-1.73
N 0.6358 0.3642 0.9524  1 Si 1.75
N 0.4860 0.7789 0.4997  1 Si 1.77
N 0.8400 0.1600 0.7952  1 Si 1.71
N 0.3642 0.6358 0.0476  1 Si 1.75
N 0.7275 0.2725 0.1234  2 Si 1.73-1.75
N 0.2015 0.2741 0.6534  1 Si 1.74
N 0.7259 0.7985 0.6534  1 Si 1.74
N 0.2789 0.9860 0.9997  1 Si 1.77
N 0.9860 0.2789 0.0003  1 Si 1.77
N 0.1358 0.8642 0.5476  1 Si 1.75
N 0.2741 0.2015 0.3466  1 Si 1.74
N 0.5140 0.2211 0.5003  1 Si 1.77
N 0.7789 0.4860 0.5003  1 Si 1.77
N 0.5059 0.2443 0.7418  2 Si 1.71-1.73
N 0.3400 0.6600 0.7048  1 Si 1.71
N 0.6600 0.3400 0.2952  1 Si 1.71
N 0.2725 0.7275 0.8766  2 Si 1.73-1.75
N 0.7725 0.2275 0.6234  2 Si 1.73-1.75
N 0.1600 0.8400 0.2048  1 Si 1.71
N 0.2211 0.5140 0.4997  1 Si 1.77
N 0.2985 0.2259 0.1534  1 Si 1.74
N 0.7741 0.7015 0.1534  1 Si 1.74
N 0.8642 0.1358 0.4524  1 Si 1.75
N 0.2259 0.2985 0.8466  1 Si 1.74
La 0.0057 0.9943 0.8870  1 N 2.38
La 0.5057 0.4943 0.6130  1 N 2.38
La 0.5334 0.0448 0.3695  4 N 2.45-2.70
La 0.4836 0.5164 0.8369  7 N 2.48-2.66
La 0.9836 0.0164 0.6631  7 N 2.48-2.66
La 0.7049 0.7049 0.0000  4 N 2.39-2.50
La 0.7951 0.7951 0.5000  4 N 2.39-2.50
La 0.9666 0.4552 0.8695  4 N 2.45-2.70
La 0.9943 0.0057 0.1130  1 N 2.38
La 0.4943 0.5057 0.3870  1 N 2.38
La 0.4552 0.9666 0.1305  4 N 2.45-2.70
La 0.2951 0.2951 0.0000  4 N 2.39-2.50
La 0.5448 0.0334 0.8695  4 N 2.45-2.70
La 0.9552 0.4666 0.3695  4 N 2.45-2.70
La 0.0448 0.5334 0.6305  4 N 2.45-2.70
La 0.0164 0.9836 0.3369  7 N 2.48-2.66
La 0.0334 0.5448 0.1305  4 N 2.45-2.70
La 0.4666 0.9552 0.6305  4 N 2.45-2.70
La 0.5164 0.4836 0.1631  7 N 2.48-2.66
La 0.2049 0.2049 0.5000  4 N 2.39-2.50
Si 0.2840 0.2160 0.7500  4 N 1.73-1.74
Si 0.7840 0.7160 0.7500  4 N 1.73-1.74
Si 0.7241 0.2759 0.7261  4 N 1.71-1.73
Si 0.2759 0.7241 0.2739  4 N 1.71-1.73
Si 0.2613 0.7387 0.4837  4 N 1.75-1.77
Si 0.7387 0.2613 0.5163  4 N 1.75-1.77
Si 0.2387 0.7613 0.9837  4 N 1.75-1.77
Si 0.2241 0.7759 0.7739  4 N 1.71-1.73
Si 0.7613 0.2387 0.0163  4 N 1.75-1.77
Si 0.2160 0.2840 0.2500  4 N 1.73-1.74
Si 0.7160 0.7840 0.2500  4 N 1.73-1.74
Si 0.7759 0.2241 0.2261  4 N 1.71-1.73